[1]
Computed, not measured: a relaxed structure of LaNdZn6 at the GGA-PBE level of DFT.

SG = R-3
Energy above the lowest structure with this stoichiometry = 136 meV/atom

Cell lengths 5.620, 5.620, 5.622 Å; angles 80.23, 80.20, 80.22 degrees
Element x y z (fractional)
Nd (0.500, 0.500, 0.500)
Zn (0.739, 0.544, 0.970)
Zn (0.261, 0.456, 0.030)
Zn (0.970, 0.740, 0.544)
Zn (0.544, 0.970, 0.739)
Zn (0.456, 0.030, 0.261)
Zn (0.030, 0.260, 0.456)
La (0.000, 0.000, 0.000)

[2]
Computed, not measured: a relaxed structure of LaNdZn6 at the GGA-PBE level of DFT.

SG = Pmm2
Energy above the lowest structure with this stoichiometry = 0 meV/atom

Cell lengths 4.825, 6.812, 4.825 Å; angles 90.00, 90.00, 90.00 degrees
Element x y z (fractional)
Zn (0.500, 0.254, 0.754)
Zn (0.500, 0.000, 0.252)
Zn (0.000, 0.746, 0.246)
Zn (0.500, 0.746, 0.754)
Zn (0.000, 0.500, 0.748)
Zn (0.000, 0.254, 0.246)
Nd (0.500, 0.500, 0.253)
La (0.000, 0.000, 0.747)

[3]
Computed, not measured: a relaxed structure of LaNdZn6 at the GGA-PBE level of DFT.

SG = P4/mmm
Energy above the lowest structure with this stoichiometry = 0 meV/atom

Cell lengths 4.830, 4.830, 6.817 Å; angles 90.00, 90.00, 90.00 degrees
Element x y z (fractional)
Zn (0.000, 0.000, 0.000)
Zn (0.500, 0.500, 0.500)
Zn (0.500, 0.000, 0.753)
Zn (0.500, 0.000, 0.247)
Zn (0.000, 0.500, 0.753)
Zn (0.000, 0.500, 0.247)
La (0.000, 0.000, 0.500)
Nd (0.500, 0.500, 0.000)

[4]
Computed, not measured: a relaxed structure of LaNdZr at the GGA-PBE level of DFT.

SG = F-43m
Energy above the lowest structure with this stoichiometry = 0 meV/atom

Cell lengths 5.320, 5.320, 5.320 Å; angles 60.00, 60.00, 60.00 degrees
Site moments in Bohr magnetons follow the coordinates.
Element x y z (fractional)
Zr (0.000, 0.000, 0.000)  0.86
Nd (0.750, 0.750, 0.750)  0.23
La (0.250, 0.250, 0.250)  0.20

[5]
Computed, not measured: a relaxed structure of La3Ni at the GGA-PBE level of DFT.

SG = I4/mmm

Cell lengths 6.220, 6.220, 6.220 Å; angles 137.27, 137.27, 62.02 degrees
Element x y z (fractional)
Ni (0.000, 0.000, 0.000)
La (0.750, 0.250, 0.500)
La (0.500, 0.500, 0.000)
La (0.250, 0.750, 0.500)

[6]
Computed, not measured: a relaxed structure of La2Ni3 at the GGA-PBE level of DFT.

SG = R-3c

Cell lengths 6.613, 6.613, 7.068 Å; angles 117.89, 62.11, 120.00 degrees
Element x y z (fractional)
La (0.105, 0.895, 0.684)
La (0.395, 0.605, 0.816)
La (0.895, 0.105, 0.316)
La (0.605, 0.395, 0.184)
Ni (0.750, 0.042, 0.750)
Ni (0.042, 0.542, 0.250)
Ni (0.542, 0.250, 0.750)
Ni (0.958, 0.458, 0.750)
Ni (0.250, 0.958, 0.250)
Ni (0.458, 0.750, 0.250)

| no. | E_form (eV per atom) | VASP energy (Ry per atom) | volume (Å³/cell) |
| --- | --- | --- | --- |
| 1 | -0.136 | -0.16871 | 171 |
| 2 | -0.272 | -0.17868 | 159 |
| 3 | -0.272 | -0.17870 | 159 |
| 4 | 0.716 | -0.39407 | 106 |
| 5 | 0.139 | -0.36344 | 109 |
| 6 | 0.021 | -0.38871 | 225 |